First-principles (PBE with a Hubbard U) data for crystalline MgCoP2O7 at its relaxed geometry, as listed in the Open Quantum Materials Database.

Values from the calculation:
Electronic total energy, eV per cell: -76.2
Total magnetization, Bohr magnetons per cell: 3.00
V, Å³/cell: 117

The structure in CIF format:
```
data_MgCoP2O7
_chemical_formula_sum 'Mg1 Co1 P2 O7'
_symmetry_space_group_name_H-M 'P 1'
_symmetry_Int_Tables_number 1
_symmetry_space_group_name_Hall 'P 1'
_cell_length_a 4.484
_cell_length_b 5.240
_cell_length_c 5.257
_cell_angle_alpha 103.70
_cell_angle_beta 98.44
_cell_angle_gamma 98.49
loop_
_atom_site_label
_atom_site_type_symbol
_atom_site_fract_x
_atom_site_fract_y
_atom_site_fract_z
Mg1 Mg 0.000 0.000 0.000
Co1 Co 0.997 0.623 0.379
P1 P 0.405 0.533 0.907
P2 P 0.593 0.094 0.469
O1 O 0.218 0.700 0.767
O2 O 0.219 0.381 0.063
O3 O 0.284 0.932 0.306
O4 O 0.500 0.320 0.682
O5 O 0.714 0.696 0.069
O6 O 0.779 0.936 0.620
O7 O 0.781 0.235 0.303
```